Compound: In2FeTeO8
Source: Alexandria
Functional: PBE with a Hubbard U
Structure: optimized geometry

Cell: 6.6675 7.0031 6.4219 Å, 90.00 90.00 90.00°
Space group Cmmm (No. 65)
Unique sites:
In 0.0000 0.0000 0.2458 x4
Fe 0.0000 0.5000 0.0000 x2
Te 0.0000 0.5000 0.5000 x2
O 0.0000 0.3195 0.2648 x8
O 0.2091 0.0000 0.5000 x4
O 0.2125 0.0000 0.0000 x4

Summary:
calculated total energy: -136.68 eV for the cell shown
ρ: 5.99 g/cm³
N(E_F): 7.5 states/eV/f.u.